Here is BaTlAg2Rh after structural relaxation from Alexandria. Energies are from PBE.

a = 5.3061 Å, b = 5.3061 Å, c = 5.1253 Å
α = 90.00°, β = 90.00°, γ = 90.00°
Fractional positions:
Ba  0.0000  0.0000  0.0000
Tl  0.5000  0.5000  0.0000
Ag  0.0000  0.5000  0.5000
Ag  0.5000  0.0000  0.5000
Rh  0.5000  0.5000  0.5000

Properties
Size of the total moment   0.00 μB/f.u.
Theoretical density   7.6 g/cm3
ΔE_f   -2 meV per atom
Calculated volume   144 Å³ per cell